one) Entry from the Alexandria database: an optimized crystal structure of SrRe3Sb (PBE).

Values from the calculation:
Fermi-level density of states	5.36	states/eV per cell

Cell: 4.8762 4.8762 4.8762 Å, 90.00 90.00 90.00°
Last column: nearest neighbours and their distance in Å.
Element x y z (fractional)
Re: 0.0000 0.5000 0.0000  2 Sr 2.44
Re: 0.0000 0.0000 0.5000  2 Sr 2.44
Re: 0.5000 0.0000 0.0000  2 Sr 2.44
Sr: 0.0000 0.0000 0.0000  6 Re 2.44
Sb: 0.5000 0.5000 0.5000  12 Re 3.45

two) Entry from the Alexandria database: an optimized crystal structure of SrRe3Sb (PBE).

Values from the calculation:
Fermi-level density of states	7.95	states/eV per cell

Cell: 4.9690 4.9690 4.9690 Å, 90.00 90.00 90.00°
Last column: nearest neighbours and their distance in Å.
Element x y z (fractional)
Re: 0.0000 0.5000 0.0000  2 Sb 2.48
Re: 0.0000 0.0000 0.5000  2 Sb 2.48
Re: 0.5000 0.0000 0.0000  2 Sb 2.48
Sr: 0.5000 0.5000 0.5000  12 Re 3.51
Sb: 0.0000 0.0000 0.0000  6 Re 2.48

The winner here is two), beating the second structure by 1.556 eV/atom.

one) Entry from the Alexandria database: an optimized crystal structure of Ta3ReSb (PBE).

Values from the calculation:
Fermi-level density of states	5.45	states/eV per cell

Cell: 4.8910 4.8910 4.8910 Å, 90.00 90.00 90.00°
Last column: nearest neighbours and their distance in Å.
Element x y z (fractional)
Re: 0.0000 0.0000 0.0000  6 Ta 2.45
Sb: 0.5000 0.5000 0.5000  12 Ta 3.46
Ta: 0.0000 0.5000 0.0000  2 Re 2.45
Ta: 0.0000 0.0000 0.5000  2 Re 2.45
Ta: 0.5000 0.0000 0.0000  2 Re 2.45

two) Entry from the Alexandria database: an optimized crystal structure of Ta3ReSb (PBE).

Values from the calculation:
Fermi-level density of states	6.01	states/eV per cell

Cell: 4.8872 4.8872 4.8872 Å, 90.00 90.00 90.00°
Last column: nearest neighbours and their distance in Å.
Element x y z (fractional)
Re: 0.5000 0.5000 0.5000  12 Ta 3.46
Sb: 0.0000 0.0000 0.0000  6 Ta 2.44
Ta: 0.0000 0.5000 0.0000  2 Sb 2.44
Ta: 0.0000 0.0000 0.5000  2 Sb 2.44
Ta: 0.5000 0.0000 0.0000  2 Sb 2.44

The winner here is one), beating the second structure by 1.201 eV/atom.

one) Entry from the Alexandria database: an optimized crystal structure of ReTcSb (PBE).

Values from the calculation:
Fermi-level density of states	1.90	states/eV per cell

Cell: 2.9794 2.9794 6.6830 Å, 90.00 90.00 120.00°
Last column: nearest neighbours and their distance in Å.
Element x y z (fractional)
Re: 0.0000 0.0000 0.9800  3 Tc 2.62, 3 Sb 2.93
Sb: 0.6667 0.3333 0.3358  3 Tc 2.90, 3 Re 2.93, 6 Sb 2.98
Tc: 0.3333 0.6667 0.6842  3 Re 2.62, 3 Sb 2.90

two) Entry from the Alexandria database: an optimized crystal structure of ReTcSb (PBE).

Values from the calculation:
Fermi-level density of states	2.16	states/eV per cell

Cell: 5.9792 5.9792 3.0155 Å, 75.39 75.39 29.21°
Last column: nearest neighbours and their distance in Å.
Element x y z (fractional)
Re: 0.0127 0.0127 0.9873  4 Tc 2.66, 4 Sb 2.93
Sb: 0.3329 0.3329 0.6671  4 Tc 2.92, 4 Re 2.93, 4 Sb 3.02
Tc: 0.6544 0.6544 0.3456  4 Re 2.66, 4 Sb 2.92

The winner here is two), beating the second structure by 0.073 eV/atom.

one) Entry from the Alexandria database: an optimized crystal structure of ReTcSb (PBE).

Values from the calculation:
Fermi-level density of states	2.23	states/eV per cell

Cell: 4.8111 4.8111 4.8111 Å, 143.55 130.12 63.34°
Last column: nearest neighbours and their distance in Å.
Element x y z (fractional)
Re: 0.0060 0.0060 0.0000  5 Sb 2.68-2.89, 5 Tc 2.82-2.83
Sb: 0.3336 0.3336 0.0000  5 Tc 2.68-2.90, 5 Re 2.68-2.89
Tc: 0.6604 0.6604 0.0000  5 Sb 2.68-2.90, 5 Re 2.82-2.83

two) Entry from the Alexandria database: an optimized crystal structure of ReTcSb (PBE).

Values from the calculation:
Fermi-level density of states	1.25	states/eV per cell

Cell: 4.3191 4.3191 4.3191 Å, 60.00 60.00 60.00°
Last column: nearest neighbours and their distance in Å.
Element x y z (fractional)
Re: 0.0000 0.0000 0.0000  4 Tc 2.64
Sb: 0.5000 0.5000 0.5000  4 Tc 2.64
Tc: 0.7500 0.7500 0.7500  4 Sb 2.64, 4 Re 2.64

The winner here is two), beating the second structure by 0.151 eV/atom.

one) Entry from the Alexandria database: an optimized crystal structure of YReSb2Te (PBE).

Values from the calculation:
Fermi-level density of states	4.62	states/eV per cell

Cell: 5.7825 5.7825 5.7012 Å, 90.00 90.00 90.00°
Last column: nearest neighbours and their distance in Å.
Element x y z (fractional)
Y: 0.0000 0.0000 0.0000  2 Te 2.85, 4 Sb 2.89
Re: 0.5000 0.5000 0.5000  8 Sb 4.06, 4 Te 4.09
Te: 0.0000 0.0000 0.5000  2 Y 2.85
Sb: 0.0000 0.5000 0.0000  2 Y 2.89
Sb: 0.5000 0.0000 0.0000  2 Y 2.89

two) Entry from the Alexandria database: an optimized crystal structure of YReSb2Te (PBE).

Values from the calculation:
Fermi-level density of states	1.97	states/eV per cell

Cell: 5.0339 5.0339 5.9108 Å, 90.00 90.00 90.00°
Last column: nearest neighbours and their distance in Å.
Element x y z (fractional)
Y: 0.5000 0.5000 0.5000  4 Te 3.56, 8 Sb 3.88
Re: 0.0000 0.0000 0.0000  4 Sb 2.52
Te: 0.0000 0.0000 0.5000  2 Re 2.96
Sb: 0.0000 0.5000 0.0000  2 Re 2.52
Sb: 0.5000 0.0000 0.0000  2 Re 2.52

The winner here is two), beating the second structure by 1.010 eV/atom.

one) Entry from the Alexandria database: an optimized crystal structure of ZnReSb2Te (PBE).

Values from the calculation:
Fermi-level density of states	3.89	states/eV per cell

Cell: 5.0908 5.0908 5.2195 Å, 90.00 90.00 90.00°
Last column: nearest neighbours and their distance in Å.
Element x y z (fractional)
Re: 0.5000 0.5000 0.5000  4 Te 3.60, 8 Sb 3.65
Zn: 0.0000 0.0000 0.0000  4 Sb 2.55, 2 Te 2.61
Te: 0.0000 0.0000 0.5000  2 Zn 2.61
Sb: 0.0000 0.5000 0.0000  2 Zn 2.55
Sb: 0.5000 0.0000 0.0000  2 Zn 2.55

two) Entry from the Alexandria database: an optimized crystal structure of ZnReSb2Te (PBE).

Values from the calculation:
Fermi-level density of states	5.38	states/eV per cell

Cell: 5.0872 5.0872 5.7292 Å, 90.00 90.00 90.00°
Last column: nearest neighbours and their distance in Å.
Element x y z (fractional)
Re: 0.0000 0.0000 0.0000  4 Sb 2.54
Zn: 0.5000 0.5000 0.5000  4 Te 3.60, 8 Sb 3.83
Te: 0.0000 0.0000 0.5000  2 Re 2.86
Sb: 0.0000 0.5000 0.0000  2 Re 2.54
Sb: 0.5000 0.0000 0.0000  2 Re 2.54

The winner here is two), beating the second structure by 0.750 eV/atom.